Here is a geometry-optimized Ti3Cu2P6WO24 structure from the Alexandria database. Energies are from PBE with a Hubbard U.

For the total energy, the calculation gives -812.5 eV/cell. The calculation puts the density at 3.66 g cm⁻³. The value obtained for the total magnetic moment is 0.06 μB per atom.

a = 8.6943 Å, b = 8.6943 Å, c = 21.3046 Å
α = 90.00°, β = 90.00°, γ = 120.00°
With the nearest neighbours (Å) after each atom.
Space group R3 (No. 146, hexagonal axes)
Symmetry-distinct sites (fractional):
Ti: 0.0000 0.0000 0.0000  6 O 1.92-1.98
Ti: 0.0000 0.0000 0.2153  6 O 1.92-2.02
Ti: 0.0000 0.0000 0.7152  6 O 1.92-2.02
Cu: 0.0000 0.0000 0.3518  6 O 2.22-2.39
Cu: 0.0000 0.0000 0.8588  6 O 2.32-2.35
P: 0.0410 0.3738 0.2751  4 O 1.53-1.55
P: 0.0489 0.6730 0.7739  4 O 1.53-1.55
W: 0.0000 0.0000 0.4974  6 O 2.04-2.09
O: 0.0130 0.2061 0.5478  1 P 1.53
O: 0.0260 0.8385 0.7773  1 P 1.55
O: 0.0290 0.1895 0.2768  1 P 1.55
O: 0.1492 0.4782 0.3333  1 P 1.55
O: 0.1486 0.6717 0.8338  1 P 1.55
O: 0.1540 0.6774 0.7155  1 P 1.53
O: 0.1608 0.4838 0.6085  1 P 1.55
O: 0.1633 0.6934 0.1016  1 P 1.55